No. 1
Cs2OsCl6O: optimized geometry, GGA-PBE.

Calculated volume (Å³ per cell): 601.5
Final energy (eV/cell): -74.071
Formation energy from raw total energies (kcal/mol of atoms): -18.59
Magnetization (μB per cell): 8.0

Geometry as CIF:
```
data_Cs2OsCl6O
_chemical_formula_sum 'Cs4 Os2 Cl12 O2'
_symmetry_space_group_name_H-M 'I 4/m m m'
_symmetry_Int_Tables_number 139
_symmetry_space_group_name_Hall '-I 4 2'
_cell_length_a 7.3786
_cell_length_b 7.3786
_cell_length_c 11.0488
_cell_angle_alpha 90.00
_cell_angle_beta 90.00
_cell_angle_gamma 90.00
loop_
_atom_site_label
_atom_site_type_symbol
_atom_site_fract_x
_atom_site_fract_y
_atom_site_fract_z
Cs1 Cs 0.0000 0.5000 0.2500
Os1 Os 0.0000 0.0000 0.0000
Cl1 Cl 0.0000 0.0000 0.2125
Cl2 Cl 0.2255 0.2255 0.0000
O1 O 0.0000 0.0000 0.5000
```

---

No. 2
CsPClO2: optimized geometry, GGA-PBE.

Calculated volume (Å³ per cell): 96.8
Final energy (eV/cell): -14.665
Formation energy from raw total energies (kcal/mol of atoms): 15.50
Magnetization (μB per cell): 0.8
Offset from the most stable computed form (meV per atom): 0

Geometry as CIF:
```
data_CsPClO2
_chemical_formula_sum 'Cs1 P1 Cl1 O2'
_symmetry_space_group_name_H-M 'P 4/m m m'
_symmetry_Int_Tables_number 123
_symmetry_space_group_name_Hall '-P 4 2'
_cell_length_a 4.6734
_cell_length_b 4.6734
_cell_length_c 4.4313
_cell_angle_alpha 90.00
_cell_angle_beta 90.00
_cell_angle_gamma 90.00
loop_
_atom_site_label
_atom_site_type_symbol
_atom_site_fract_x
_atom_site_fract_y
_atom_site_fract_z
Cs1 Cs 0.0000 0.0000 0.0000
P1 P 0.5000 0.5000 0.0000
Cl1 Cl 0.5000 0.5000 0.5000
O1 O 0.0000 0.5000 0.5000
```

---

No. 3
CsPClO2: optimized geometry, GGA-PBE.

Calculated volume (Å³ per cell): 151.6
Final energy (eV/cell): -13.508
Formation energy from raw total energies (kcal/mol of atoms): 20.84
Magnetization (μB per cell): 2.2
Offset from the most stable computed form (meV per atom): 231

Geometry as CIF:
```
data_CsPClO2
_chemical_formula_sum 'Cs1 P1 Cl1 O2'
_symmetry_space_group_name_H-M 'P 4/m m m'
_symmetry_Int_Tables_number 123
_symmetry_space_group_name_Hall '-P 4 2'
_cell_length_a 4.2631
_cell_length_b 4.2631
_cell_length_c 8.3440
_cell_angle_alpha 90.00
_cell_angle_beta 90.00
_cell_angle_gamma 90.00
loop_
_atom_site_label
_atom_site_type_symbol
_atom_site_fract_x
_atom_site_fract_y
_atom_site_fract_z
Cs1 Cs 0.0000 0.0000 0.0000
P1 P 0.0000 0.0000 0.5000
Cl1 Cl 0.5000 0.5000 0.5000
O1 O 0.0000 0.5000 0.0000
```

---

No. 4
CsP2ClO: optimized geometry, GGA-PBE.

Calculated volume (Å³ per cell): 145.0
Final energy (eV/cell): -18.479
Formation energy from raw total energies (kcal/mol of atoms): -0.01
Magnetization (μB per cell): 0.7
Offset from the most stable computed form (meV per atom): 0

Geometry as CIF:
```
data_CsP2ClO
_chemical_formula_sum 'Cs1 P2 Cl1 O1'
_symmetry_space_group_name_H-M 'P 4/m m m'
_symmetry_Int_Tables_number 123
_symmetry_space_group_name_Hall '-P 4 2'
_cell_length_a 4.2261
_cell_length_b 4.2261
_cell_length_c 8.1164
_cell_angle_alpha 90.00
_cell_angle_beta 90.00
_cell_angle_gamma 90.00
loop_
_atom_site_label
_atom_site_type_symbol
_atom_site_fract_x
_atom_site_fract_y
_atom_site_fract_z
Cs1 Cs 0.0000 0.0000 0.0000
P1 P 0.0000 0.5000 0.5000
Cl1 Cl 0.5000 0.5000 0.0000
O1 O 0.5000 0.5000 0.5000
```

---

No. 5
Cs2PCl6O: optimized geometry, GGA-PBE.

Calculated volume (Å³ per cell): 554.1
Final energy (eV/cell): -63.427
Formation energy from raw total energies (kcal/mol of atoms): -19.74
Magnetization (μB per cell): 2.0

Geometry as CIF:
```
data_Cs2PCl6O
_chemical_formula_sum 'Cs4 P2 Cl12 O2'
_symmetry_space_group_name_H-M 'I 4/m m m'
_symmetry_Int_Tables_number 139
_symmetry_space_group_name_Hall '-I 4 2'
_cell_length_a 7.0790
_cell_length_b 7.0790
_cell_length_c 11.0563
_cell_angle_alpha 90.00
_cell_angle_beta 90.00
_cell_angle_gamma 90.00
loop_
_atom_site_label
_atom_site_type_symbol
_atom_site_fract_x
_atom_site_fract_y
_atom_site_fract_z
Cs1 Cs 0.0000 0.5000 0.2500
P1 P 0.0000 0.0000 0.0000
Cl1 Cl 0.0000 0.0000 0.2056
Cl2 Cl 0.2253 0.2253 0.0000
O1 O 0.0000 0.0000 0.5000
```

---

No. 6
CsPClO3: optimized geometry, GGA-PBE.

Calculated volume (Å³ per cell): 602.7
Final energy (eV/cell): -132.490
Formation energy from raw total energies (kcal/mol of atoms): -38.96
Magnetization (μB per cell): 0.8

Geometry as CIF:
```
data_CsPClO3
_chemical_formula_sum 'Cs4 P4 Cl4 O12'
_symmetry_space_group_name_H-M 'C 1 2/c 1'
_symmetry_Int_Tables_number 15
_cell_length_a 9.3301
_cell_length_b 13.6359
_cell_length_c 4.7500
_cell_angle_alpha 90.00
_cell_angle_beta 94.24
_cell_angle_gamma 90.00
loop_
_symmetry_equiv_pos_as_xyz
'x,y,z'
'-x,-y,-z'
'-x,y,-z+1/2'
'x,-y,z+1/2'
'x+1/2,y+1/2,z'
'-x+1/2,-y+1/2,-z'
'-x+1/2,y+1/2,-z+1/2'
'x+1/2,-y+1/2,z+1/2'
loop_
_atom_site_label
_atom_site_type_symbol
_atom_site_fract_x
_atom_site_fract_y
_atom_site_fract_z
Cs1 Cs 0.0000 0.2388 0.2500
P1 P 0.0000 0.4641 0.7500
Cl1 Cl 0.0000 0.0147 0.7500
O1 O 0.0000 0.3517 0.7500
O2 O 0.1121 0.4757 0.4582
```

---

No. 7
CsP2ClO: optimized geometry, GGA-PBE.

Calculated volume (Å³ per cell): 222.4
Final energy (eV/cell): -11.520
Formation energy from raw total energies (kcal/mol of atoms): 32.09
Magnetization (μB per cell): 5.2
Offset from the most stable computed form (meV per atom): 1392

Geometry as CIF:
```
data_CsP2ClO
_chemical_formula_sum 'Cs1 P2 Cl1 O1'
_symmetry_space_group_name_H-M 'P 4/m m m'
_symmetry_Int_Tables_number 123
_symmetry_space_group_name_Hall '-P 4 2'
_cell_length_a 7.0774
_cell_length_b 7.0774
_cell_length_c 4.4398
_cell_angle_alpha 90.00
_cell_angle_beta 90.00
_cell_angle_gamma 90.00
loop_
_atom_site_label
_atom_site_type_symbol
_atom_site_fract_x
_atom_site_fract_y
_atom_site_fract_z
Cs1 Cs 0.0000 0.0000 0.0000
P1 P 0.0000 0.5000 0.0000
Cl1 Cl 0.5000 0.5000 0.5000
O1 O 0.0000 0.0000 0.5000
```

---

No. 8
Cs2PaCl5O: optimized geometry, GGA-PBE.

Calculated volume (Å³ per cell): 638.2
Final energy (eV/cell): -90.867
Formation energy from raw total energies (kcal/mol of atoms): -51.35
Magnetization (μB per cell): 0.0

Geometry as CIF:
```
data_Cs2PaCl5O
_chemical_formula_sum 'Cs4 Pa2 Cl10 O2'
_symmetry_space_group_name_H-M 'I 4 m m'
_symmetry_Int_Tables_number 107
_symmetry_space_group_name_Hall 'I 4 -2'
_cell_length_a 7.7498
_cell_length_b 7.7498
_cell_length_c 10.6258
_cell_angle_alpha 90.00
_cell_angle_beta 90.00
_cell_angle_gamma 90.00
loop_
_atom_site_label
_atom_site_type_symbol
_atom_site_fract_x
_atom_site_fract_y
_atom_site_fract_z
Cs1 Cs 0.0000 0.5000 0.0000
Pa1 Pa 0.0000 0.0000 0.2600
Cl1 Cl 0.0000 0.0000 0.0120
Cl2 Cl 0.2433 0.2433 0.2491
O1 O 0.0000 0.0000 0.4354
```

---

No. 9
CsPbCl2O: optimized geometry, GGA-PBE.

Calculated volume (Å³ per cell): 145.5
Final energy (eV/cell): -19.531
Formation energy from raw total energies (kcal/mol of atoms): -29.14
Magnetization (μB per cell): 0.0

Geometry as CIF:
```
data_CsPbCl2O
_chemical_formula_sum 'Cs1 Pb1 Cl2 O1'
_symmetry_space_group_name_H-M 'P 4/m m m'
_symmetry_Int_Tables_number 123
_symmetry_space_group_name_Hall '-P 4 2'
_cell_length_a 5.8254
_cell_length_b 5.8254
_cell_length_c 4.2884
_cell_angle_alpha 90.00
_cell_angle_beta 90.00
_cell_angle_gamma 90.00
loop_
_atom_site_label
_atom_site_type_symbol
_atom_site_fract_x
_atom_site_fract_y
_atom_site_fract_z
Cs1 Cs 0.0000 0.0000 0.0000
Pb1 Pb 0.5000 0.5000 0.5000
Cl1 Cl 0.0000 0.5000 0.5000
O1 O 0.5000 0.5000 0.0000
```

---

No. 10
Cs2PtCl6O: optimized geometry, GGA-PBE.

Calculated volume (Å³ per cell): 589.7
Final energy (eV/cell): -64.510
Formation energy from raw total energies (kcal/mol of atoms): -19.53
Magnetization (μB per cell): 4.0

Geometry as CIF:
```
data_Cs2PtCl6O
_chemical_formula_sum 'Cs4 Pt2 Cl12 O2'
_symmetry_space_group_name_H-M 'I 4/m m m'
_symmetry_Int_Tables_number 139
_symmetry_space_group_name_Hall '-I 4 2'
_cell_length_a 7.3171
_cell_length_b 7.3171
_cell_length_c 11.0142
_cell_angle_alpha 90.00
_cell_angle_beta 90.00
_cell_angle_gamma 90.00
loop_
_atom_site_label
_atom_site_type_symbol
_atom_site_fract_x
_atom_site_fract_y
_atom_site_fract_z
Cs1 Cs 0.0000 0.5000 0.2500
Pt1 Pt 0.0000 0.0000 0.0000
Cl1 Cl 0.0000 0.0000 0.2141
Cl2 Cl 0.2281 0.2281 0.0000
O1 O 0.0000 0.0000 0.5000
```

---

No. 11
Cs5PtClO2: optimized geometry, GGA-PBE.

Calculated volume (Å³ per cell): 341.3
Final energy (eV/cell): -31.435
Formation energy from raw total energies (kcal/mol of atoms): -23.99
Magnetization (μB per cell): 0.1

Geometry as CIF:
```
data_Cs5PtClO2
_chemical_formula_sum 'Cs5 Pt1 Cl1 O2'
_symmetry_space_group_name_H-M 'P 4/m m m'
_symmetry_Int_Tables_number 123
_symmetry_space_group_name_Hall '-P 4 2'
_cell_length_a 5.9192
_cell_length_b 5.9192
_cell_length_c 9.7414
_cell_angle_alpha 90.00
_cell_angle_beta 90.00
_cell_angle_gamma 90.00
loop_
_atom_site_label
_atom_site_type_symbol
_atom_site_fract_x
_atom_site_fract_y
_atom_site_fract_z
Cs1 Cs 0.0000 0.0000 0.0000
Cs2 Cs 0.0000 0.5000 0.2880
Pt1 Pt 0.0000 0.0000 0.5000
Cl1 Cl 0.5000 0.5000 0.0000
O1 O 0.0000 0.0000 0.2873
```

---

No. 12
Cs6PtCl2O: optimized geometry, GGA-PBE.

Calculated volume (Å³ per cell): 498.0
Final energy (eV/cell): -29.971
Formation energy from raw total energies (kcal/mol of atoms): -23.42
Magnetization (μB per cell): 0.2

Geometry as CIF:
```
data_Cs6PtCl2O
_chemical_formula_sum 'Cs6 Pt1 Cl2 O1'
_symmetry_space_group_name_H-M 'P 4 m m'
_symmetry_Int_Tables_number 99
_cell_length_a 8.3572
_cell_length_b 8.3572
_cell_length_c 7.1305
_cell_angle_alpha 90.00
_cell_angle_beta 90.00
_cell_angle_gamma 90.00
loop_
_symmetry_equiv_pos_as_xyz
'x,y,z'
'-y,x,z'
'-x,-y,z'
'y,-x,z'
'-x,y,z'
'y,x,z'
'x,-y,z'
'-y,-x,z'
loop_
_atom_site_label
_atom_site_type_symbol
_atom_site_fract_x
_atom_site_fract_y
_atom_site_fract_z
Cs1 Cs 0.0000 0.0000 0.0000
Cs2 Cs 0.2324 0.2324 0.4955
Cs3 Cs 0.5000 0.5000 0.9133
Pt1 Pt 0.5000 0.5000 0.3549
Cl1 Cl 0.0000 0.5000 0.7725
O1 O 0.0000 0.0000 0.3617
```

---

- The highest calculated volume belongs to which entry?
  Cs2PaCl5O

---

- The highest final energy belongs to which entry?
  number 7